# 1
# NaTlInTc2 | Alexandria via LeMat-Bulk | SCAN | single point on PBEsol structure
data_NaTlInTc2
_symmetry_space_group_name_H-M 'P 1'
_symmetry_Int_Tables_number 1
_symmetry_space_group_name_Hall 'P 1'
_cell_length_a 4.963
_cell_length_b 5.036
_cell_length_c 5.036
_cell_angle_alpha 90.00
_cell_angle_beta 90.00
_cell_angle_gamma 90.00
loop_
_atom_site_label
_atom_site_fract_x
_atom_site_fract_y
_atom_site_fract_z
Na1 0.500 0.000 0.000
In1 0.500 0.500 0.500
Tc1 0.000 0.500 0.000
Tc2 0.000 0.000 0.500
Tl1 0.000 0.000 0.000
# Electronic total energy ... -172.4 eV/cell
# Space group ... No. 123
# Mass density ... 7101 kg/m³
# Magnetization ... 5.70 μB/cell
# Calculated formation energy ... 1.55 eV per atom



# 2
# NaInTe3 | Alexandria via LeMat-Bulk | SCAN | single point on PBEsol structure
data_NaInTe3
_symmetry_space_group_name_H-M 'P 1'
_symmetry_Int_Tables_number 1
_symmetry_space_group_name_Hall 'P 1'
_cell_length_a 5.673
_cell_length_b 5.673
_cell_length_c 5.673
_cell_angle_alpha 90.00
_cell_angle_beta 90.00
_cell_angle_gamma 90.00
loop_
_atom_site_label
_atom_site_fract_x
_atom_site_fract_y
_atom_site_fract_z
Te1 0.500 0.000 0.000
In1 0.000 0.000 0.000
Te2 0.000 0.500 0.000
Na1 0.500 0.500 0.500
Te3 0.000 0.000 0.500
# Electronic total energy ... -149.3 eV/cell
# Space group ... No. 221
# Mass density ... 4734 kg/m³
# Magnetization ... 0.00 μB/cell
# Formation energy without anion corrections ... 5 meV per atom



# 3
# Na3InTe | Alexandria via LeMat-Bulk | SCAN | single point on PBEsol structure
data_Na3InTe
_symmetry_space_group_name_H-M 'P 1'
_symmetry_Int_Tables_number 1
_symmetry_space_group_name_Hall 'P 1'
_cell_length_a 5.787
_cell_length_b 5.787
_cell_length_c 5.787
_cell_angle_alpha 90.00
_cell_angle_beta 90.00
_cell_angle_gamma 90.00
loop_
_atom_site_label
_atom_site_fract_x
_atom_site_fract_y
_atom_site_fract_z
Te1 0.000 0.000 0.000
Na1 0.000 0.500 0.000
Na2 0.500 0.000 0.000
Na3 0.000 0.000 0.500
In1 0.500 0.500 0.500
# Electronic total energy ... -84.7 eV/cell
# Space group ... No. 221
# Mass density ... 2667 kg/m³
# Magnetization ... 0.00 μB/cell
# Formation energy without anion corrections ... -286 meV per atom



- The highest electronic total energy belongs to which entry?
  Na3InTe



- Which value of magnetization does entry 2 give?
  0.00 μB/cell